Compound: GdPuAg4
Source: Alexandria via LeMat-Bulk
Functional: PBE
Structure: optimized geometry

Computed properties:
density: 10.43 Mg/m³
calculated formation energy: -40 meV/atom
final energy: -6.676 eV/atom

a b c (Å): 5.7237 5.7237 5.7237
angles (deg): 60.00 60.00 60.00
Last column: magnetic moment on the atom in μB.
Element x y z (fractional)
Ag 0.6250 0.6250 0.1249  -0.01
Ag 0.6250 0.1249 0.6250  -0.01
Ag 0.1249 0.6250 0.6250  -0.01
Ag 0.6250 0.6250 0.6250  -0.01
Pu 0.2500 0.2500 0.2500  -5.52
Gd 0.0000 0.0000 0.0000  6.84